[1]
An optimized crystal structure of ReTc2Rh, computed with PBE. Values from VASP.

Quantum ESPRESSO input file:
```
&SYSTEM
  ibrav = 0, nat = 4, ntyp = 3
/
ATOMIC_SPECIES
Re 186.21 Re.upf
Tc 98.00 Tc.upf
Rh 102.91 Rh.upf
CELL_PARAMETERS angstrom
0.0000 3.0935 3.0935
3.0935 0.0000 3.0935
3.0935 3.0935 0.0000
ATOMIC_POSITIONS crystal
Re 0.0000 0.0000 0.0000
Tc 0.2500 0.2500 0.2500
Tc 0.7500 0.7500 0.7500
Rh 0.5000 0.5000 0.5000
```

## Properties
**D(E_F)**: 1.931 states/eV/atom
**Raw total energy**: -39.39 eV per cell
**Total magnetic moment**: 0.001 Bohr magnetons per cell

[2]
An optimized crystal structure of Re2TcRh, computed with PBE. Values from VASP.

Quantum ESPRESSO input file:
```
&SYSTEM
  ibrav = 0, nat = 4, ntyp = 3
/
ATOMIC_SPECIES
Re 186.21 Re.upf
Tc 98.00 Tc.upf
Rh 102.91 Rh.upf
CELL_PARAMETERS angstrom
2.7408 0.0000 0.0000
0.0000 2.7408 0.0000
0.0000 0.0000 7.8259
ATOMIC_POSITIONS crystal
Re 0.0000 0.0000 0.0000
Re 0.5000 0.5000 0.2548
Tc 0.5000 0.5000 0.7576
Rh 0.0000 0.0000 0.5007
```

## Properties
**D(E_F)**: 0.918 states/eV/atom
**Raw total energy**: -42.66 eV per cell
**Total magnetic moment**: 0.000 Bohr magnetons per cell

[3]
An optimized crystal structure of Re2TcRh, computed with PBE. Values from VASP.

Quantum ESPRESSO input file:
```
&SYSTEM
  ibrav = 0, nat = 4, ntyp = 3
/
ATOMIC_SPECIES
Re 186.21 Re.upf
Tc 98.00 Tc.upf
Rh 102.91 Rh.upf
CELL_PARAMETERS angstrom
-1.9518 1.9518 3.8425
1.9518 -1.9518 3.8425
1.9518 1.9518 -3.8425
ATOMIC_POSITIONS crystal
Re 0.0000 0.0000 0.0000
Re 0.7500 0.2500 0.5000
Tc 0.2500 0.7500 0.5000
Rh 0.5000 0.5000 0.0000
```

## Properties
**D(E_F)**: 0.822 states/eV/atom
**Raw total energy**: -42.75 eV per cell
**Total magnetic moment**: 0.000 Bohr magnetons per cell

[4]
An optimized crystal structure of ReTc2Rh, computed with PBE. Values from VASP.

Quantum ESPRESSO input file:
```
&SYSTEM
  ibrav = 0, nat = 4, ntyp = 3
/
ATOMIC_SPECIES
Re 186.21 Re.upf
Tc 98.00 Tc.upf
Rh 102.91 Rh.upf
CELL_PARAMETERS angstrom
-1.9439 1.9439 3.8436
1.9439 -1.9439 3.8436
1.9439 1.9439 -3.8436
ATOMIC_POSITIONS crystal
Re 0.0000 0.0000 0.0000
Tc 0.2500 0.7500 0.5000
Tc 0.5000 0.5000 0.0000
Rh 0.7500 0.2500 0.5000
```

## Properties
**D(E_F)**: 0.838 states/eV/atom
**Raw total energy**: -40.68 eV per cell
**Total magnetic moment**: 0.000 Bohr magnetons per cell

[5]
An optimized crystal structure of ReTc2Rh, computed with PBE. Values from VASP.

Quantum ESPRESSO input file:
```
&SYSTEM
  ibrav = 0, nat = 4, ntyp = 3
/
ATOMIC_SPECIES
Re 186.21 Re.upf
Tc 98.00 Tc.upf
Rh 102.91 Rh.upf
CELL_PARAMETERS angstrom
4.7575 0.0000 0.0000
0.0000 2.7282 0.0000
-1.5985 0.0000 4.4820
ATOMIC_POSITIONS crystal
Re 0.0000 0.0000 0.0000
Tc 0.0000 0.5000 0.5000
Tc 0.5000 0.0000 0.5000
Rh 0.5000 0.5000 0.0000
```

## Properties
**D(E_F)**: 0.977 states/eV/atom
**Raw total energy**: -40.59 eV per cell
**Total magnetic moment**: 0.000 Bohr magnetons per cell

[6]
An optimized crystal structure of ReTc2Rh, computed with PBE. Values from VASP.

Quantum ESPRESSO input file:
```
&SYSTEM
  ibrav = 0, nat = 4, ntyp = 3
/
ATOMIC_SPECIES
Re 186.21 Re.upf
Tc 98.00 Tc.upf
Rh 102.91 Rh.upf
CELL_PARAMETERS angstrom
-1.9473 1.9473 3.8328
1.9473 -1.9473 3.8328
1.9473 1.9473 -3.8328
ATOMIC_POSITIONS crystal
Re 0.0000 0.0000 0.0000
Tc 0.2500 0.7500 0.5000
Tc 0.7500 0.2500 0.5000
Rh 0.5000 0.5000 0.0000
```

## Properties
**D(E_F)**: 0.905 states/eV/atom
**Raw total energy**: -40.65 eV per cell
**Total magnetic moment**: 0.000 Bohr magnetons per cell